# 1
Entry from Alexandria via LeMat-Bulk: Li2CoCu after structural relaxation (PBE).

Calculated values
Relative energy among the computed polymorphs, meV per atom: 76.6
Density of states at the Fermi level, states/eV/cell: 4.2
Calculated density, g/cm3: 4.6
Energy of formation, kJ/mol of formula units: 62

Cell and atoms, written as POSCAR:
```
Li2CoCu
1.0
-2.520 -0.799 3.959
-1.871 -1.671 -4.046
1.172 -2.095 0.323
Li Co Cu
2 1 1
Direct
0.000 0.000 0.000
0.500 0.500 0.000
0.500 0.000 0.500
0.000 0.500 0.500
```



# 2
Entry from Alexandria via LeMat-Bulk: Pr3ZrAs4 after structural relaxation (PBE).

Calculated values
Density of states at the Fermi level, states/eV/cell: 1.5
Calculated density, g/cm3: 6.5
Energy of formation, kJ/mol of formula units: -1064

Cell and atoms, written as POSCAR:
```
Pr3ZrAs4
1.0
-3.420 -2.217 -0.957
4.163 -5.703 -1.664
-1.771 -0.303 7.028
As Zr Pr
4 1 3
Direct
0.500 0.760 0.240
0.000 0.231 0.231
0.000 0.769 0.769
0.500 0.240 0.760
0.500 0.000 0.000
0.500 0.500 0.500
0.000 0.000 0.500
0.000 0.500 0.000
```



# 3
Entry from Alexandria via LeMat-Bulk: GaAgPt3 after structural relaxation (PBE).

Calculated values
Relative energy among the computed polymorphs, meV per atom: 0.0
Density of states at the Fermi level, states/eV/cell: 3.6
Calculated density, g/cm3: 14.2
Energy of formation, kJ/mol of formula units: 20

Cell and atoms, written as POSCAR:
```
GaAgPt3
1.0
5.336 0.000 0.000
0.000 6.205 0.001
0.001 -3.102 5.371
Ag Pt Ga
2 6 2
Direct
0.750 0.667 0.333
0.250 0.333 0.667
0.750 0.192 0.383
0.250 0.808 0.191
0.750 0.192 0.809
0.250 0.809 0.617
0.750 0.617 0.809
0.250 0.383 0.191
0.000 0.000 0.000
0.500 0.000 0.000
```



# 4
Entry from Alexandria via LeMat-Bulk: La2Tb4Sc after structural relaxation (PBE).

Calculated values
Relative energy among the computed polymorphs, meV per atom: 251.9
Density of states at the Fermi level, states/eV/cell: 7.8
Calculated density, g/cm3: 6.2
Energy of formation, kJ/mol of formula units: 358

Cell and atoms, written as POSCAR:
```
La2Tb4Sc
1.0
5.413 0.000 0.000
0.000 5.413 0.000
-2.706 -2.706 8.757
Tb Sc La
4 1 2
Direct
0.000 0.500 0.000
0.174 0.174 0.348
0.500 0.000 0.000
0.826 0.826 0.652
0.000 0.000 0.000
0.628 0.628 0.256
0.372 0.372 0.744
```



# 5
Entry from Alexandria via LeMat-Bulk: LiYZr2 after structural relaxation (PBE).

Calculated values
Relative energy among the computed polymorphs, meV per atom: 161.3
Density of states at the Fermi level, states/eV/cell: 5.3
Calculated density, g/cm3: 4.7
Energy of formation, kJ/mol of formula units: 108

Cell and atoms, written as POSCAR:
```
LiYZr2
1.0
3.102 -0.005 0.000
-1.339 2.799 0.000
0.000 0.000 11.235
Zr Y Li
2 1 1
Direct
0.000 0.000 0.494
0.000 0.000 0.006
0.500 0.500 0.750
0.500 0.500 0.250
```



# 6
Entry from Alexandria via LeMat-Bulk: CaPrDy14 after structural relaxation (PBE).

Calculated values
Density of states at the Fermi level, states/eV/cell: 25.0
Calculated density, g/cm3: 7.8
Energy of formation, kJ/mol of formula units: 43

Cell and atoms, written as POSCAR:
```
CaPrDy14
1.0
-2.044 -0.320 6.984
1.250 -6.134 -3.724
10.884 0.277 3.197
Dy Ca Pr
14 1 1
Direct
0.330 0.165 0.255
0.835 0.670 0.255
0.330 0.165 0.745
0.665 0.832 0.000
0.168 0.335 0.000
0.666 0.833 0.500
0.167 0.334 0.500
0.666 0.334 0.500
0.334 0.666 0.750
0.835 0.670 0.745
0.334 0.666 0.250
0.835 0.165 0.746
0.835 0.165 0.254
0.166 0.834 0.500
0.667 0.333 0.000
0.168 0.832 0.000
```



# 7
Entry from Alexandria via LeMat-Bulk: Be2Cl after structural relaxation (PBE).

Calculated values
Relative energy among the computed polymorphs, meV per atom: 636.4
Density of states at the Fermi level, states/eV/cell: 5.0
E_form (uncorrected), eV per atom: 0.304
Calculated density, g/cm3: 2.2

Cell and atoms, written as POSCAR:
```
Be2Cl
1.0
-3.487 -1.465 1.513
-1.944 -0.449 -4.915
2.733 -6.965 -0.445
Be Cl
8 4
Direct
0.250 0.513 0.775
0.750 0.435 0.945
0.750 0.987 0.275
0.250 0.013 0.725
0.750 0.935 0.555
0.250 0.065 0.445
0.250 0.565 0.055
0.750 0.487 0.225
0.750 0.052 0.847
0.250 0.448 0.347
0.750 0.552 0.653
0.250 0.948 0.153
```



# 8
Entry from Alexandria via LeMat-Bulk: TlGa2SnIr after structural relaxation (PBE).

Calculated values
Density of states at the Fermi level, states/eV/cell: 2.4
Calculated density, g/cm3: 8.7
Energy of formation, kJ/mol of formula units: -43

Cell and atoms, written as POSCAR:
```
TlGa2SnIr
1.0
-3.280 -3.426 -0.986
0.713 -1.944 4.380
-3.828 3.092 1.996
Tl Sn Ir Ga
1 1 1 2
Direct
0.500 0.500 0.500
0.000 0.000 0.500
0.000 0.000 0.000
0.000 0.500 0.000
0.500 0.000 0.000
```



# 9
Entry from Alexandria via LeMat-Bulk: BaMnCdP after structural relaxation (PBE).

Calculated values
Density of states at the Fermi level, states/eV/cell: 5.2
Calculated density, g/cm3: 5.7
Energy of formation, kJ/mol of formula units: -200

Cell and atoms, written as POSCAR:
```
BaMnCdP
1.0
3.920 0.000 0.000
0.000 3.920 0.000
0.000 0.000 12.692
Ba P Mn Cd
2 2 2 2
Direct
0.750 0.750 0.233
0.250 0.250 0.767
0.750 0.750 0.901
0.250 0.250 0.099
0.750 0.250 0.000
0.250 0.750 0.000
0.250 0.750 0.500
0.750 0.250 0.500
```



# 10
Entry from Alexandria via LeMat-Bulk: LiCa2Ac after structural relaxation (PBE).

Calculated values
Relative energy among the computed polymorphs, meV per atom: 33.2
Density of states at the Fermi level, states/eV/cell: 4.7
Calculated density, g/cm3: 3.4
Energy of formation, kJ/mol of formula units: 31

Cell and atoms, written as POSCAR:
```
LiCa2Ac
1.0
3.888 0.000 0.000
1.944 3.367 0.000
1.944 1.122 11.795
Ca Ac Li
2 1 1
Direct
0.258 0.258 0.226
0.075 0.075 0.774
0.500 0.500 0.499
0.666 0.666 0.001
```